An optimized crystal structure of Ac2MnTcO8, computed with PBE+U.

Results
DFT total energy	-7.664	eV/atom

Lattice parameters (Å, degrees): 4.4822 5.5103 7.0871 84.95 89.09 82.37
Last column: nearest neighbours and their distance in Å.
Space group P-1 (No. 2)
Symmetry-distinct sites (fractional):
1 Ac 0.1999 0.0229 0.2472 (multiplicity 2)  7 O 2.50-2.80
2 Mn 0.5000 0.5000 0.0000 (multiplicity 1)  4 O 1.91-1.95
3 Tc 0.5000 0.5000 0.5000 (multiplicity 1)  6 O 1.86-2.02
4 O 0.1991 0.7496 0.5569 (multiplicity 2)  1 Tc 1.86
5 O 0.2966 0.8240 0.9440 (multiplicity 2)  1 Mn 1.91
6 O 0.2981 0.2559 0.6208 (multiplicity 2)  1 Tc 1.86
7 O 0.3042 0.4798 0.2475 (multiplicity 2)  1 Mn 1.95, 1 Tc 2.02